# 1
! Mg2Cd2Ir, optimized geometry, DFT GGA-PBE; values from VASP
! Magnetization: 0.00 μB/f.u.
! Calculated volume: 203 Å³ per cell
! Formation energy: 0.16 eV per atom
! ΔE to the lowest computed polymorph: 0.383 eV per atom
&SYSTEM
  ibrav = 0, nat = 10, ntyp = 3
/
ATOMIC_SPECIES
Mg 24.30 Mg.upf
Cd 112.41 Cd.upf
Ir 192.22 Ir.upf
ATOMIC_POSITIONS angstrom
Mg 1.227 2.300 0.000
Mg 2.300 5.826 0.000
Mg 4.753 1.227 0.000
Mg 5.826 4.753 0.000
Cd 0.983 4.509 2.044
Cd 2.544 0.983 2.044
Cd 4.509 6.070 2.044
Cd 6.070 2.544 2.044
Ir 0.000 0.000 2.044
Ir 3.527 3.527 2.044
CELL_PARAMETERS angstrom
7.053 0.000 0.000
0.000 7.053 0.000
0.000 0.000 4.087

***

# 2
! La4NiOsCl2, optimized geometry, DFT GGA-PBE; values from VASP
! Magnetization: 0.00 μB/f.u.
! Calculated volume: 226 Å³ per cell
! Total DFT energy (no corrections): -6.051 eV/atom
&SYSTEM
  ibrav = 0, nat = 8, ntyp = 4
/
ATOMIC_SPECIES
La 138.91 La.upf
Ni 58.69 Ni.upf
Os 190.23 Os.upf
Cl 35.45 Cl.upf
ATOMIC_POSITIONS angstrom
La 1.141 0.000 1.595
La -0.025 2.071 6.129
La 4.764 2.071 1.539
La 3.598 0.000 6.072
Ni 3.558 0.000 0.000
Os 0.000 2.071 0.000
Cl -1.189 0.000 3.834
Cl 2.370 2.071 3.834
CELL_PARAMETERS angstrom
7.117 0.000 0.000
0.000 4.142 0.000
-2.378 0.000 7.667

***

# 3
! CdSiAg2, optimized geometry, DFT GGA-PBE; values from VASP
! Magnetization: 0.00 μB/f.u.
! Calculated volume: 146 Å³ per cell
! ΔE to the lowest computed polymorph: 0.086 eV per atom
&SYSTEM
  ibrav = 0, nat = 8, ntyp = 3
/
ATOMIC_SPECIES
Cd 112.41 Cd.upf
Si 28.09 Si.upf
Ag 107.87 Ag.upf
ATOMIC_POSITIONS angstrom
Cd 0.000 0.000 0.000
Cd 2.102 2.102 4.135
Si 0.000 0.000 4.135
Si 2.102 2.102 0.000
Ag 0.000 2.102 2.068
Ag 0.000 2.102 6.203
Ag 2.102 0.000 2.068
Ag 2.102 0.000 6.203
CELL_PARAMETERS angstrom
4.204 0.000 0.000
0.000 4.204 0.000
0.000 0.000 8.271

***

# 4
! Ac2MgHg4, optimized geometry, DFT GGA-PBE; values from VASP
! Magnetization: 0.00 μB/f.u.
! Calculated volume: 454 Å³ per cell
! Formation energy: -0.22 eV per atom
! ΔE to the lowest computed polymorph: 0.136 eV per atom
&SYSTEM
  ibrav = 0, nat = 14, ntyp = 3
/
ATOMIC_SPECIES
Ac 227.00 Ac.upf
Mg 24.30 Mg.upf
Hg 200.59 Hg.upf
ATOMIC_POSITIONS angstrom
Ac 0.000 0.000 2.326
Ac 0.000 0.000 14.675
Ac 2.582 2.582 6.174
Ac 2.582 2.582 10.827
Mg 0.000 0.000 8.500
Mg 2.582 2.582 0.000
Hg 0.000 0.000 5.593
Hg 0.000 0.000 11.408
Hg 0.000 2.582 0.000
Hg 0.000 2.582 8.500
Hg 2.582 0.000 0.000
Hg 2.582 0.000 8.500
Hg 2.582 2.582 2.908
Hg 2.582 2.582 14.093
CELL_PARAMETERS angstrom
5.165 0.000 0.000
0.000 5.165 0.000
0.000 0.000 17.001